No. 1
Entry from Alexandria via LeMat-Bulk: a geometry-optimized Cs3K2Rb9Na structure (GGA-PBE).

Cell and atoms, written as POSCAR:
```
Cs3K2Rb9Na
1.0
11.653 0.000 0.000
-5.827 10.092 0.000
0.000 0.000 13.113
Cs K Rb Na
3 2 9 1
Direct
0.000 0.000 0.000
0.333 0.667 0.655
0.667 0.333 0.345
0.333 0.667 0.200
0.667 0.333 0.800
0.000 0.500 0.000
0.150 0.301 0.329
0.150 0.850 0.329
0.301 0.150 0.671
0.500 0.000 0.000
0.500 0.500 0.000
0.699 0.850 0.329
0.850 0.150 0.671
0.850 0.699 0.671
0.000 0.000 0.500
```

Calculated values
space-group type	P-3m1, No. 164
formation energy from the elements	0.097	eV/atom
magnetization	0.000	μB/cell
VASP energy	-13.3	eV/cell


No. 2
Entry from Alexandria via LeMat-Bulk: a geometry-optimized RbNa2Ga2As2 structure (GGA-PBE).

Cell and atoms, written as POSCAR:
```
RbNa2Ga2As2
1.0
5.616 -2.016 0.000
5.616 2.016 0.000
-0.642 0.000 9.522
Rb Na Ga As
1 2 2 2
Direct
0.000 0.000 0.000
0.330 0.330 0.374
0.670 0.670 0.626
0.044 0.044 0.385
0.956 0.956 0.615
0.369 0.369 0.721
0.631 0.631 0.279
```

Calculated values
space-group type	C2/m, No. 12
formation energy from the elements	-0.363	eV/atom
magnetization	0.000	μB/cell
VASP energy	-21.5	eV/cell


No. 3
Entry from Alexandria via LeMat-Bulk: a geometry-optimized Cs2BaBeP2 structure (GGA-PBE).

Cell and atoms, written as POSCAR:
```
Cs2BaBeP2
1.0
-3.671 8.060 3.447
3.671 -8.060 3.447
3.671 8.060 -3.447
Cs Ba Be P
4 2 2 4
Direct
0.175 0.200 0.375
0.325 0.700 0.025
0.675 0.300 0.975
0.825 0.800 0.625
0.250 0.750 0.500
0.750 0.250 0.500
0.250 0.250 0.000
0.750 0.750 0.000
0.064 0.828 0.892
0.436 0.328 0.764
0.564 0.672 0.236
0.936 0.172 0.108
```

Calculated values
space-group type	Ibam, No. 72
formation energy from the elements	-0.346	eV/atom
magnetization	0.000	μB/cell
VASP energy	-40.5	eV/cell